Entry from Alexandria via LeMat-Bulk: Tl2CdPt after structural relaxation (PBE-GGA).

```
Tl2CdPt
1.0
4.537 0.998 2.034
0.437 3.533 3.612
0.992 -1.370 4.781
Tl Pt Cd
2 1 1
direct
0.250 0.250 0.250 Tl
0.750 0.750 0.750 Tl
0.500 0.500 0.500 Pt
0.000 0.000 0.000 Cd
```

Computed properties:
Symmetry = Fm-3m, No. 225
DFT total energy = -11.15 eV/cell
Relative energy among the computed polymorphs = 210.8 meV/atom